Record 1
DFT (PBE) results for Ca2ZnMo after structural relaxation.

```
Ca2ZnMo
1.0
0.0000 3.5839 3.5839
3.5839 0.0000 3.5839
3.5839 3.5839 0.0000
Ca Zn Mo
2 1 1
direct
0.0000 0.0000 0.0000
0.2500 0.2500 0.2500
0.5000 0.5000 0.5000
0.7500 0.7500 0.7500
```

- Raw total energy: -13.692 eV for the cell shown
- Space group: F-43m, No. 216

***

Record 2
DFT (PBE) results for LaAlHg after structural relaxation.

```
LaAlHg
1.0
4.7805 0.0000 0.0000
-2.3903 4.1400 0.0000
0.0000 0.0000 7.8262
La Al Hg
2 2 2
direct
0.0000 0.0000 0.0000
0.0000 0.0000 0.5000
0.3333 0.6667 0.2167
0.6667 0.3333 0.7167
0.3333 0.6667 0.7848
0.6667 0.3333 0.2848
```

- Raw total energy: -20.886 eV for the cell shown
- Space group: P6_3mc, No. 186

***

Record 3
DFT (PBE) results for CaAcGe after structural relaxation.

```
CaAcGe
1.0
8.3086 0.0000 0.0000
-4.1543 7.1955 0.0000
0.0000 0.0000 4.7157
Ca Ac Ge
3 3 3
direct
0.0000 0.7450 0.0000
0.2550 0.2550 0.0000
0.7450 0.0000 0.0000
0.0000 0.4025 0.5000
0.4025 0.0000 0.5000
0.5975 0.5975 0.5000
0.0000 0.0000 0.5000
0.3333 0.6667 0.0000
0.6667 0.3333 0.0000
```

- Space group: P-62m, No. 189
- Distance to the lowest polymorph of the same formula: 0.0 meV/atom

***

Record 4
DFT (PBE) results for CsBi3W after structural relaxation.

```
CsBi3W
1.0
5.5847 0.0000 0.0000
0.0000 5.5847 0.0000
0.0000 0.0000 5.5847
Cs Bi W
1 3 1
direct
0.0000 0.0000 0.0000
0.0000 0.5000 0.5000
0.5000 0.0000 0.5000
0.5000 0.5000 0.0000
0.5000 0.5000 0.5000
```

- Space group: Pm-3m, No. 221
- Distance to the lowest polymorph of the same formula: 0.0 meV/atom

***

Please write out number 3 again, unchanged.
DFT (PBE) results for CaAcGe after structural relaxation.

```
CaAcGe
1.0
8.3086 0.0000 0.0000
-4.1543 7.1955 0.0000
0.0000 0.0000 4.7157
Ca Ac Ge
3 3 3
direct
0.0000 0.7450 0.0000
0.2550 0.2550 0.0000
0.7450 0.0000 0.0000
0.0000 0.4025 0.5000
0.4025 0.0000 0.5000
0.5975 0.5975 0.5000
0.0000 0.0000 0.5000
0.3333 0.6667 0.0000
0.6667 0.3333 0.0000
```

- Space group: P-62m, No. 189
- Distance to the lowest polymorph of the same formula: 0.0 meV/atom